# Mn2BeIn

Mn2BeIn after structural relaxation (PBE, Alexandria).

abc: 4.645 4.645 4.645
angles: 131.16 131.16 71.55
Atoms (fractional coordinates):
Mn 0.250 0.750 0.500
Mn 0.750 0.250 0.500
Be 0.000 0.000 0.000
In 0.500 0.500 0.000

Summary:
Total DFT energy (no corrections) = -5.9736 eV/atom
ΔH_f (0 K) = 88 kJ/mol of formula units
Polymorph energy (0 for the lowest one) = 0.29 eV/f.u.
SG = I4/mmm, No. 139
Total magnetic moment = 1.375 μB per atom